An optimized crystal structure of MnIrO4, computed with PBE with a Hubbard U.

Geometry as POSCAR:
```
MnIrO4
1.0
4.427 0.000 0.000
0.000 5.282 0.000
0.000 0.000 5.578
Mn Ir O
2 2 8
direct
0.000 0.500 0.151
0.500 0.500 0.651
0.000 0.000 0.857
0.500 0.000 0.357
0.247 0.845 0.111
0.227 0.325 0.885
0.273 0.325 0.385
0.253 0.845 0.611
0.727 0.675 0.385
0.747 0.155 0.611
0.753 0.155 0.111
0.773 0.675 0.885
```

Results
The electronic total energy is -7.066 eV per atom. As for the crystal system: orthorhombic. Its total magnetization is 3.4 μB per formula unit.